[1]
{
  "formula": "LaGdBr2O2",
  "functional": "GGA-PBEsol",
  "state": "optimized geometry",
  "lattice_angstrom": [[-3.512, 0.835, 1.691], [-0.888, -3.885, 0.074], [3.192, -0.597, 6.925]],
  "species": ["La", "Gd", "Br", "Br", "O", "O"],
  "frac_coords": [[0.000, 0.000, 0.842], [0.500, 0.500, 0.150], [0.500, 0.500, 0.643], [0.000, 0.000, 0.353], [0.500, 0.000, 0.006], [0.000, 0.500, 0.006]],
  "n_ef_per_ev_cell": 0.00,
  "raw_formation_energy_ev_per_atom": -2.9639
}


[2]
{
  "formula": "AlSiRu2",
  "functional": "GGA-PBEsol",
  "state": "optimized geometry",
  "lattice_angstrom": [[2.824, 0.000, 0.000], [1.412, 2.446, 0.000], [1.412, 0.815, 7.738]],
  "species": ["Ru", "Ru", "Si", "Al"],
  "frac_coords": [[0.245, 0.245, 0.264], [0.755, 0.755, 0.736], [0.500, 0.500, 0.500], [0.000, 0.000, 0.000]],
  "n_ef_per_ev_cell": 3.32,
  "raw_formation_energy_ev_per_atom": -0.4120
}


[3]
{
  "formula": "Al2PtAu",
  "functional": "GGA-PBEsol",
  "state": "optimized geometry",
  "lattice_angstrom": [[-2.418, -0.805, -3.581], [0.050, -3.995, -1.833], [-3.542, -2.589, 0.276]],
  "species": ["Au", "Al", "Al", "Pt"],
  "frac_coords": [[0.000, 0.000, 0.000], [0.250, 0.250, 0.250], [0.750, 0.750, 0.750], [0.500, 0.500, 0.500]],
  "n_ef_per_ev_cell": 0.89,
  "formation_energy_ev_per_atom": -0.620
}